Entry 1:
# PBE Pm5OsAu4, relaxed
data_Pm5OsAu4
_space_group_name_H-M_alt 'P 1'
_space_group_IT_number 1
_space_group_name_Hall 'P 1'
_cell_length_a 3.604
_cell_length_b 3.604
_cell_length_c 18.766
_cell_angle_alpha 90.00
_cell_angle_beta 90.00
_cell_angle_gamma 90.00
loop_
_atom_site_label
_atom_site_type_symbol
_atom_site_fract_x
_atom_site_fract_y
_atom_site_fract_z
Pm1 Pm 0.000 0.000 0.000
Pm2 Pm 0.000 0.000 0.203
Pm3 Pm 0.000 0.000 0.409
Pm4 Pm 0.000 0.000 0.591
Pm5 Pm 0.000 0.000 0.797
Os1 Os 0.500 0.500 0.500
Au1 Au 0.500 0.500 0.101
Au2 Au 0.500 0.500 0.303
Au3 Au 0.500 0.500 0.697
Au4 Au 0.500 0.500 0.899
# - Formation energy from the elements: -0.6182 eV/atom
# - Mass density: 11.6 Mg/m³

---

Entry 2:
# PBE Pm4InCo, relaxed
data_Pm4InCo
_space_group_name_H-M_alt 'P 1'
_space_group_IT_number 1
_space_group_name_Hall 'P 1'
_cell_length_a 9.784
_cell_length_b 9.784
_cell_length_c 9.784
_cell_angle_alpha 60.00
_cell_angle_beta 60.00
_cell_angle_gamma 60.00
loop_
_atom_site_label
_atom_site_type_symbol
_atom_site_fract_x
_atom_site_fract_y
_atom_site_fract_z
Pm1 Pm 0.041 0.653 0.653
Pm2 Pm 0.060 0.060 0.440
Pm3 Pm 0.060 0.440 0.060
Pm4 Pm 0.060 0.440 0.440
Pm5 Pm 0.190 0.190 0.810
Pm6 Pm 0.190 0.810 0.190
Pm7 Pm 0.190 0.810 0.810
Pm8 Pm 0.440 0.060 0.060
Pm9 Pm 0.440 0.060 0.440
Pm10 Pm 0.440 0.440 0.060
Pm11 Pm 0.653 0.041 0.653
Pm12 Pm 0.653 0.653 0.041
Pm13 Pm 0.653 0.653 0.653
Pm14 Pm 0.810 0.190 0.190
Pm15 Pm 0.810 0.190 0.810
Pm16 Pm 0.810 0.810 0.190
In1 In 0.419 0.419 0.419
In2 In 0.419 0.419 0.743
In3 In 0.419 0.743 0.419
In4 In 0.743 0.419 0.419
Co1 Co 0.422 0.859 0.859
Co2 Co 0.859 0.422 0.859
Co3 Co 0.859 0.859 0.422
Co4 Co 0.859 0.859 0.859
# - Formation energy from the elements: -0.2492 eV/atom
# - Mass density: 7.6 Mg/m³
# - Energy above the lowest structure with this stoichiometry: 0.0 meV per atom

---

Entry 3:
# PBE PmP3Pd5, relaxed
data_PmP3Pd5
_space_group_name_H-M_alt 'P 1'
_space_group_IT_number 1
_space_group_name_Hall 'P 1'
_cell_length_a 6.726
_cell_length_b 6.726
_cell_length_c 12.344
_cell_angle_alpha 90.00
_cell_angle_beta 90.00
_cell_angle_gamma 146.82
loop_
_atom_site_label
_atom_site_type_symbol
_atom_site_fract_x
_atom_site_fract_y
_atom_site_fract_z
Pm1 Pm 0.129 0.871 0.750
Pm2 Pm 0.871 0.129 0.250
P1 P 0.131 0.869 0.250
P2 P 0.393 0.607 0.055
P3 P 0.393 0.607 0.445
P4 P 0.607 0.393 0.555
P5 P 0.607 0.393 0.945
P6 P 0.869 0.131 0.750
Pd1 Pd 0.000 0.000 0.000
Pd2 Pd 0.000 0.000 0.500
Pd3 Pd 0.219 0.781 0.082
Pd4 Pd 0.219 0.781 0.418
Pd5 Pd 0.432 0.568 0.642
Pd6 Pd 0.432 0.568 0.858
Pd7 Pd 0.568 0.432 0.142
Pd8 Pd 0.568 0.432 0.358
Pd9 Pd 0.781 0.219 0.582
Pd10 Pd 0.781 0.219 0.918
# - Formation energy from the elements: -0.6630 eV/atom
# - Mass density: 8.4 Mg/m³

---

Entry 4:
# PBE Ta2CuRh, relaxed
data_Ta2CuRh
_space_group_name_H-M_alt 'P 1'
_space_group_IT_number 1
_space_group_name_Hall 'P 1'
_cell_length_a 5.079
_cell_length_b 5.079
_cell_length_c 5.079
_cell_angle_alpha 135.66
_cell_angle_beta 135.66
_cell_angle_gamma 64.50
loop_
_atom_site_label
_atom_site_type_symbol
_atom_site_fract_x
_atom_site_fract_y
_atom_site_fract_z
Ta1 Ta 0.000 0.000 0.000
Ta2 Ta 0.750 0.250 0.500
Cu1 Cu 0.250 0.750 0.500
Rh1 Rh 0.500 0.500 0.000
# - Formation energy from the elements: -0.0553 eV/atom
# - Mass density: 13.9 Mg/m³

---

Entry 5:
# PBE SiBr2, relaxed
data_SiBr2
_space_group_name_H-M_alt 'P 1'
_space_group_IT_number 1
_space_group_name_Hall 'P 1'
_cell_length_a 5.186
_cell_length_b 7.138
_cell_length_c 7.916
_cell_angle_alpha 70.50
_cell_angle_beta 71.22
_cell_angle_gamma 84.93
loop_
_atom_site_label
_atom_site_type_symbol
_atom_site_fract_x
_atom_site_fract_y
_atom_site_fract_z
Si1 Si 0.000 0.000 0.000
Si2 Si 0.359 0.262 0.887
Br1 Br 0.095 0.675 0.086
Br2 Br 0.312 0.414 0.594
Br3 Br 0.689 0.057 0.251
Br4 Br 0.738 0.018 0.793
# - Formation energy without anion corrections: -0.42 eV/atom
# - Mass density: 2.4 Mg/m³

---

Entry 6:
# PBE TlP2Br, relaxed
data_TlP2Br
_space_group_name_H-M_alt 'P 1'
_space_group_IT_number 1
_space_group_name_Hall 'P 1'
_cell_length_a 5.003
_cell_length_b 5.003
_cell_length_c 5.003
_cell_angle_alpha 60.00
_cell_angle_beta 60.00
_cell_angle_gamma 60.00
loop_
_atom_site_label
_atom_site_type_symbol
_atom_site_fract_x
_atom_site_fract_y
_atom_site_fract_z
Tl1 Tl 0.000 0.000 0.000
P1 P 0.250 0.250 0.250
P2 P 0.500 0.500 0.500
Br1 Br 0.750 0.750 0.750
# - Formation energy without anion corrections: 0.68 eV/atom
# - Mass density: 6.5 Mg/m³
# - Energy above the lowest structure with this stoichiometry: 799.2 meV per atom

---

Entry 7:
# PBE CaMg3Al, relaxed
data_CaMg3Al
_space_group_name_H-M_alt 'P 1'
_space_group_IT_number 1
_space_group_name_Hall 'P 1'
_cell_length_a 5.262
_cell_length_b 5.262
_cell_length_c 5.262
_cell_angle_alpha 90.00
_cell_angle_beta 90.00
_cell_angle_gamma 90.00
loop_
_atom_site_label
_atom_site_type_symbol
_atom_site_fract_x
_atom_site_fract_y
_atom_site_fract_z
Ca1 Ca 0.000 0.000 0.000
Mg1 Mg 0.000 0.500 0.500
Mg2 Mg 0.500 0.000 0.500
Mg3 Mg 0.500 0.500 0.000
Al1 Al 0.500 0.500 0.500
# - Formation energy from the elements: 0.2266 eV/atom
# - Mass density: 1.6 Mg/m³
# - Energy above the lowest structure with this stoichiometry: 283.5 meV per atom

---

Entry 8:
# PBE Mg3Mo, relaxed
data_Mg3Mo
_space_group_name_H-M_alt 'P 1'
_space_group_IT_number 1
_space_group_name_Hall 'P 1'
_cell_length_a 4.201
_cell_length_b 4.201
_cell_length_c 4.201
_cell_angle_alpha 90.00
_cell_angle_beta 90.00
_cell_angle_gamma 90.00
loop_
_atom_site_label
_atom_site_type_symbol
_atom_site_fract_x
_atom_site_fract_y
_atom_site_fract_z
Mg1 Mg 0.000 0.000 0.500
Mg2 Mg 0.000 0.500 0.000
Mg3 Mg 0.500 0.000 0.000
Mo1 Mo 0.500 0.500 0.500
# - Formation energy from the elements: 0.2991 eV/atom
# - Mass density: 3.8 Mg/m³
# - Energy above the lowest structure with this stoichiometry: 102.3 meV per atom